DFT (GGA+U) results for CrSeF2 after structural relaxation.

Properties
The value obtained for the total magnetization is 2.00 μB/f.u. The density of states at the Fermi level is 0.488 states/eV per atom. For the polymorph energy (0 for the lowest one), the calculation gives 0 meV/atom. As for the mass density: 4.1 g/cm3. For the final energy, the calculation gives -0.367 Ry/atom.

Cell lengths 5.761, 5.761, 5.761 Å; angles 101.97, 101.97, 125.82 degrees
Sites, in units of the cell vectors:
Cr1 0.000 0.000 0.000
Cr2 0.750 0.250 0.500
Se1 0.250 0.750 0.500
Se2 0.500 0.500 0.000
F1 0.375 0.218 0.343
F2 0.782 0.125 0.157
F3 0.875 0.032 0.657
F4 0.968 0.625 0.843